PuBeRe, optimized geometry, DFT PBE; Fermi-level density of states = 3.45 states/eV/f.u.; formation energy = 0.330 eV/atom; final energy = -9.84 eV/atom; V = 89.6 Å³/cell
1.0
3.187 0.000 0.000
0.000 4.332 0.000
0.000 2.166 6.488
Pu Be Re
2 2 2
Cartesian
2.391 4.332 0.857 Pu
0.797 2.166 5.631 Pu
0.797 2.166 0.727 Be
2.391 4.332 5.761 Be
2.391 4.332 3.515 Re
0.797 2.166 2.974 Re